{
  "formula": "SrY2Ru",
  "functional": "PBE-GGA",
  "state": "relaxed",
  "formation_energy_mev_per_atom": 354,
  "dos_ef_per_ev_cell": 4.74,
  "de_polymorph_mev_per_atom": 511,
  "cell": [[4.442, 0.000, 0.000], [0.000, 4.678, 0.000], [0.000, 0.000, 5.099]],
  "species": ["Sr", "Y", "Y", "Ru"],
  "frac_coords": [[0.000, 0.000, 0.000], [0.500, 0.000, 0.500], [0.500, 0.500, 0.000], [0.000, 0.500, 0.500]]
}